1.
Density functional theory data (GGA-PBE) for a geometry-optimized YBeMo2 structure.

```
YBeMo2
1.0
3.2357 0.0000 0.0000
0.0000 3.2357 0.0000
0.0000 0.0000 6.5979
Y Be Mo
1 1 2
Direct
0.0000 0.0000 0.0000 Y
0.5000 0.5000 0.3080 Be
0.0000 0.0000 0.4803 Mo
0.5000 0.5000 0.6905 Mo
```

Computed properties:
* ΔH_f (0 K): 0.108 eV per atom
* electronic total energy: -31.4 eV/cell

2.
Density functional theory data (GGA-PBE) for a geometry-optimized Y3Er4Pd2 structure.

```
Y3Er4Pd2
1.0
8.0159 -1.8508 0.0000
8.0159 1.8508 0.0000
-3.7333 0.0000 8.4315
Y Er Pd
3 4 2
Direct
0.0000 0.0000 0.0000 Y
0.3683 0.3683 0.6215 Y
0.6317 0.6317 0.3785 Y
0.0890 0.0890 0.6847 Er
0.3204 0.3204 0.9592 Er
0.6796 0.6796 0.0408 Er
0.9110 0.9110 0.3153 Er
0.2575 0.2575 0.2857 Pd
0.7425 0.7425 0.7143 Pd
```

Computed properties:
* ΔH_f (0 K): -0.367 eV per atom
* electronic total energy: -51.3 eV/cell

3.
Density functional theory data (GGA-PBE) for a geometry-optimized AlOs2Pb structure.

```
AlOs2Pb
1.0
-1.5597 2.1961 4.9060
1.5597 -2.1961 4.9060
1.5597 2.1961 -4.9060
Al Os Pb
1 2 1
Direct
0.0000 0.0000 0.0000 Al
0.2103 0.7103 0.5000 Os
0.4617 0.4617 0.0000 Os
0.7379 0.2379 0.5000 Pb
```

Computed properties:
* ΔH_f (0 K): 0.643 eV per atom
* electronic total energy: -27.3 eV/cell
* excess energy over the best structure of this formula in the dataset: 0.346 eV/atom

4.
Density functional theory data (GGA-PBE) for a geometry-optimized Zr2MoIr2 structure.

```
Zr2MoIr2
1.0
6.6750 0.0000 0.0000
0.0000 6.6750 0.0000
0.0000 0.0000 4.2122
Zr Mo Ir
4 2 4
Direct
0.1752 0.3248 0.0000 Zr
0.3248 0.8248 0.0000 Zr
0.6752 0.1752 0.0000 Zr
0.8248 0.6752 0.0000 Zr
0.0000 0.0000 0.5000 Mo
0.5000 0.5000 0.5000 Mo
0.1378 0.6378 0.5000 Ir
0.3622 0.1378 0.5000 Ir
0.6378 0.8622 0.5000 Ir
0.8622 0.3622 0.5000 Ir
```

Computed properties:
* ΔH_f (0 K): -0.429 eV per atom
* electronic total energy: -95.6 eV/cell

5.
Density functional theory data (GGA-PBE) for a geometry-optimized YMgOs3 structure.

```
YMgOs3
1.0
4.5727 0.0000 0.0000
0.0000 4.5727 0.0000
0.0000 0.0000 4.5727
Y Mg Os
1 1 3
Direct
0.0000 0.0000 0.0000 Y
0.5000 0.5000 0.5000 Mg
0.0000 0.5000 0.5000 Os
0.5000 0.0000 0.5000 Os
0.5000 0.5000 0.0000 Os
```

Computed properties:
* ΔH_f (0 K): 1.501 eV per atom
* electronic total energy: -34.2 eV/cell
* excess energy over the best structure of this formula in the dataset: 0.000 eV/atom

6.
Density functional theory data (GGA-PBE) for a geometry-optimized MnZn6Fe structure.

```
MnZn6Fe
1.0
3.4732 2.0053 3.1627
-3.4732 2.0053 3.1627
0.0000 -4.0106 3.1627
Mn Zn Fe
1 6 1
Direct
0.0000 0.0000 0.0000 Mn
0.1605 0.1605 0.5312 Zn
0.1605 0.5312 0.1605 Zn
0.4688 0.8395 0.8395 Zn
0.5312 0.1605 0.1605 Zn
0.8395 0.4688 0.8395 Zn
0.8395 0.8395 0.4688 Zn
0.5000 0.5000 0.5000 Fe
```

Computed properties:
* ΔH_f (0 K): 0.322 eV per atom
* electronic total energy: -22.7 eV/cell
* excess energy over the best structure of this formula in the dataset: 0.343 eV/atom

7.
Density functional theory data (GGA-PBE) for a geometry-optimized CaAc2Rh4Pb3 structure.

```
CaAc2Rh4Pb3
1.0
4.5086 0.0000 0.0000
0.0000 4.5086 0.0000
0.0000 0.0000 12.0953
Ca Ac Rh Pb
1 2 4 3
Direct
0.0000 0.0000 0.0000 Ca
0.0000 0.5000 0.7405 Ac
0.5000 0.0000 0.2595 Ac
0.0000 0.0000 0.5000 Rh
0.0000 0.5000 0.1503 Rh
0.5000 0.0000 0.8497 Rh
0.5000 0.5000 0.5000 Rh
0.0000 0.5000 0.3761 Pb
0.5000 0.0000 0.6239 Pb
0.5000 0.5000 0.0000 Pb
```

Computed properties:
* ΔH_f (0 K): -0.446 eV per atom
* electronic total energy: -55.2 eV/cell

8.
Density functional theory data (GGA-PBE) for a geometry-optimized Cr3RuI structure.

```
Cr3RuI
1.0
4.8319 0.0000 0.0000
0.0000 4.8319 0.0000
0.0000 0.0000 4.8319
Cr Ru I
3 1 1
Direct
0.0000 0.0000 0.5000 Cr
0.0000 0.5000 0.0000 Cr
0.5000 0.0000 0.0000 Cr
0.0000 0.0000 0.0000 Ru
0.5000 0.5000 0.5000 I
```

Computed properties:
* electronic total energy: -33.9 eV/cell
* excess energy over the best structure of this formula in the dataset: 0.000 eV/atom
* raw formation energy: 5.78 eV per formula unit

9.
Density functional theory data (GGA-PBE) for a geometry-optimized Hf5Pt2N structure.

```
Hf5Pt2N
1.0
2.2089 -7.0746 0.0000
2.2089 7.0746 0.0000
0.0000 0.0000 10.8439
Hf Pt N
10 4 2
Direct
0.0874 0.9126 0.6091 Hf
0.0874 0.9126 0.8909 Hf
0.2926 0.7074 0.2500 Hf
0.3049 0.6951 0.5784 Hf
0.3049 0.6951 0.9216 Hf
0.6951 0.3049 0.0784 Hf
0.6951 0.3049 0.4216 Hf
0.7074 0.2926 0.7500 Hf
0.9126 0.0874 0.1091 Hf
0.9126 0.0874 0.3909 Hf
0.1015 0.8985 0.1288 Pt
0.1015 0.8985 0.3712 Pt
0.8985 0.1015 0.6288 Pt
0.8985 0.1015 0.8712 Pt
0.2072 0.7928 0.7500 N
0.7928 0.2072 0.2500 N
```

Computed properties:
* electronic total energy: -149.5 eV/cell
* raw formation energy: -4.58 eV per formula unit

10.
Density functional theory data (GGA-PBE) for a geometry-optimized Zn2SbWBr structure.

```
Zn2SbWBr
1.0
4.8732 0.0000 0.0000
0.0000 4.8732 0.0000
0.0000 0.0000 5.6293
Zn Sb W Br
2 1 1 1
Direct
0.0000 0.5000 0.0000 Zn
0.5000 0.0000 0.0000 Zn
0.0000 0.0000 0.5000 Sb
0.5000 0.5000 0.5000 W
0.0000 0.0000 0.0000 Br
```

Computed properties:
* electronic total energy: -13.0 eV/cell
* raw formation energy: 8.29 eV per formula unit

11.
Density functional theory data (GGA-PBE) for a geometry-optimized TbMg3Zn8 structure.

```
TbMg3Zn8
1.0
2.6502 1.5301 8.6451
-2.6502 1.5301 8.6451
0.0000 -3.0602 8.6451
Tb Mg Zn
1 3 8
Direct
0.0000 0.0000 0.0000 Tb
0.1255 0.1255 0.1255 Mg
0.4981 0.4981 0.4981 Mg
0.6207 0.6207 0.6207 Mg
0.0605 0.0605 0.5591 Zn
0.0605 0.5591 0.0605 Zn
0.0663 0.5626 0.5626 Zn
0.3116 0.3116 0.3116 Zn
0.5591 0.0605 0.0605 Zn
0.5626 0.0663 0.5626 Zn
0.5626 0.5626 0.0663 Zn
0.8121 0.8121 0.8121 Zn
```

Computed properties:
* ΔH_f (0 K): -0.183 eV per atom
* electronic total energy: -21.8 eV/cell
* excess energy over the best structure of this formula in the dataset: 0.007 eV/atom

12.
Density functional theory data (GGA-PBE) for a geometry-optimized TaV2SnN structure.

```
TaV2SnN
1.0
4.0781 0.0000 0.0000
0.0000 4.0781 0.0000
0.0000 0.0000 4.2581
Ta V Sn N
1 2 1 1
Direct
0.0000 0.0000 0.0000 Ta
0.0000 0.5000 0.5000 V
0.5000 0.0000 0.5000 V
0.5000 0.5000 0.0000 Sn
0.0000 0.0000 0.5000 N
```

Computed properties:
* electronic total energy: -44.4 eV/cell
* excess energy over the best structure of this formula in the dataset: 0.000 eV/atom
* raw formation energy: -1.98 eV per formula unit

Which Fermi-level density of states belongs to each record? In order, 3.2 11.2 2.8 9.8 6.7 5.1 6.7 4.6 16.5 3.1 3.7 7.1 states/eV/cell.